Compound: PAu3Se4
Source: the Open Quantum Materials Database
Functional: GGA-PBE
Structure: relaxed

Lattice parameters (Å, degrees): 5.909 5.909 11.669 90.00 90.00 90.00
Space group I-42m (No. 121)
Symmetry-distinct sites (fractional):
P  0.000  0.000  0.000 [2 per cell]
Au  0.000  0.000  0.500 [2 per cell]
Au  0.000  0.500  0.250 [4 per cell]
Se  0.227  0.227  0.116 [8 per cell]

Values from the calculation:
- Final energy: -3.587 eV/atom
- Crystal system: tetragonal
- Theoretical density: 7.6 Mg/m³

---

Compound: SiSnW
Source: the Open Quantum Materials Database
Functional: GGA-PBE
Structure: relaxed

Lattice parameters (Å, degrees): 6.123 6.123 6.123 90.00 90.00 90.00
Space group F-43m (No. 216)
Symmetry-distinct sites (fractional):
Si  0.000  0.000  0.000 [4 per cell]
Sn  0.250  0.250  0.750 [4 per cell]
W  0.250  0.250  0.250 [4 per cell]

Values from the calculation:
- Final energy: -6.710 eV/atom
- Crystal system: cubic
- Theoretical density: 9.6 Mg/m³

---

Compound: CsPrAsO
Source: the Open Quantum Materials Database
Functional: GGA-PBE
Structure: relaxed

Lattice parameters (Å, degrees): 4.471 4.471 10.840 90.00 90.00 90.00
Space group P4/nmm (No. 129, origin choice 2)
Symmetry-distinct sites (fractional):
Cs  0.250  0.750  0.000 [2 per cell]
Pr  0.250  0.250  0.413 [2 per cell]
As  0.250  0.250  0.753 [2 per cell]
O  0.250  0.750  0.500 [2 per cell]

Values from the calculation:
- Final energy: -5.045 eV/atom
- Crystal system: tetragonal
- Theoretical density: 5.6 Mg/m³

---

Compound: ScCoRePb
Source: the Open Quantum Materials Database
Functional: GGA-PBE
Structure: relaxed

Lattice parameters (Å, degrees): 6.474 6.474 6.474 90.00 90.00 90.00
Space group F-43m (No. 216)
Symmetry-distinct sites (fractional):
Sc  0.000  0.000  0.000 [4 per cell]
Co  0.250  0.250  0.750 [4 per cell]
Re  0.250  0.250  0.250 [4 per cell]
Pb  0.000  0.000  0.500 [4 per cell]

Values from the calculation:
- Final energy: -7.016 eV/atom
- Crystal system: cubic
- Theoretical density: 12.2 Mg/m³

---

Compound: InSb2Au
Source: the Open Quantum Materials Database
Functional: GGA-PBE
Structure: relaxed

Lattice parameters (Å, degrees): 7.348 7.348 7.348 90.00 90.00 90.00
Space group F-43m (No. 216)
Symmetry-distinct sites (fractional):
In  0.000  0.000  0.000 [4 per cell]
Sb  0.000  0.000  0.500 [4 per cell]
Sb  0.250  0.250  0.750 [4 per cell]
Au  0.250  0.250  0.250 [4 per cell]

Values from the calculation:
- Final energy: -3.419 eV/atom
- Crystal system: cubic
- Theoretical density: 9.3 Mg/m³

---

Compound: KHf
Source: the Open Quantum Materials Database
Functional: GGA-PBE
Structure: relaxed

Lattice parameters (Å, degrees): 7.141 7.141 7.141 90.00 90.00 90.00
Space group Fm-3m (No. 225)
Symmetry-distinct sites (fractional):
K  0.000  0.000  0.000 [4 per cell]
Hf  0.000  0.000  0.500 [4 per cell]

Values from the calculation:
- Final energy: -3.107 eV/atom
- Crystal system: cubic
- Theoretical density: 4.0 Mg/m³

---

Compound: PmTaN2O
Source: the Open Quantum Materials Database
Functional: GGA-PBE
Structure: relaxed

Lattice parameters (Å, degrees): 7.970 7.977 8.057 90.02 90.71 90.09
Space group P-1 (No. 2)
Symmetry-distinct sites (fractional):
Pm  0.014  0.248  0.472 [2 per cell]
Pm  0.026  0.252  0.987 [2 per cell]
Pm  0.467  0.750  0.513 [2 per cell]
Pm  0.485  0.748  0.021 [2 per cell]
Ta  0.240  0.006  0.744 [2 per cell]
Ta  0.248  0.008  0.241 [2 per cell]
Ta  0.253  0.489  0.747 [2 per cell]
Ta  0.260  0.492  0.257 [2 per cell]
N  0.000  0.048  0.212 [2 per cell]
N  0.189  0.252  0.717 [2 per cell]
N  0.209  0.553  0.498 [2 per cell]
N  0.223  0.951  0.501 [2 per cell]
N  0.274  0.462  0.997 [2 per cell]
N  0.292  0.248  0.298 [2 per cell]
N  0.295  0.041  0.999 [2 per cell]
N  0.500  0.452  0.714 [2 per cell]
O  0.001  0.566  0.782 [2 per cell]
O  0.211  0.748  0.191 [2 per cell]
O  0.318  0.755  0.780 [2 per cell]
O  0.498  0.934  0.283 [2 per cell]

Values from the calculation:
- Final energy: -9.576 eV/atom
- Crystal system: triclinic
- Theoretical density: 9.6 Mg/m³

---

Compound: Ba2TcB
Source: the Open Quantum Materials Database
Functional: GGA-PBE
Structure: relaxed

Lattice parameters (Å, degrees): 7.314 7.314 7.314 90.00 90.00 90.00
Space group F-43m (No. 216)
Symmetry-distinct sites (fractional):
Ba  0.000  0.000  0.000 [4 per cell]
Ba  0.250  0.250  0.250 [4 per cell]
Tc  0.000  0.000  0.500 [4 per cell]
B  0.250  0.250  0.750 [4 per cell]

Values from the calculation:
- Final energy: -3.796 eV/atom
- Crystal system: cubic
- Theoretical density: 6.5 Mg/m³

---

Compound: UNi5Ge3
Source: the Open Quantum Materials Database
Functional: GGA-PBE
Structure: relaxed

Lattice parameters (Å, degrees): 19.080 3.898 6.747 90.00 90.00 90.00
Space group Pnma (No. 62)
Symmetry-distinct sites (fractional):
U  0.145  0.250  0.121 [4 per cell]
Ni  0.004  0.750  0.132 [4 per cell]
Ni  0.016  0.250  0.381 [4 per cell]
Ni  0.110  0.250  0.645 [4 per cell]
Ni  0.200  0.750  0.809 [4 per cell]
Ni  0.211  0.750  0.414 [4 per cell]
Ge  0.076  0.750  0.853 [4 per cell]
Ge  0.088  0.750  0.408 [4 per cell]
Ge  0.233  0.250  0.608 [4 per cell]

Values from the calculation:
- Final energy: -6.241 eV/atom
- Crystal system: orthorhombic
- Theoretical density: 9.9 Mg/m³

---

Compound: Rb3Co2
Source: the Open Quantum Materials Database
Functional: GGA-PBE
Structure: relaxed

Lattice parameters (Å, degrees): 8.5707 8.5707 22.2899 90.00 90.00 120.00
Space group R-3c (No. 167, hexagonal axes)
Symmetry-distinct sites (fractional):
Rb  0.0000  0.3819  0.2500 [18 per cell]
Co  0.0000  0.0000  0.2035 [12 per cell]

Values from the calculation:
- Final energy: -2.481 eV/atom
- Crystal system: trigonal
- Theoretical density: 2.6 Mg/m³

---

Compound: AcBeNi
Source: the Open Quantum Materials Database
Functional: GGA-PBE
Structure: relaxed

Lattice parameters (Å, degrees): 6.514 6.514 6.514 90.00 90.00 90.00
Space group F-43m (No. 216)
Symmetry-distinct sites (fractional):
Ac  0.000  0.000  0.000 [4 per cell]
Be  0.000  0.000  0.500 [4 per cell]
Ni  0.250  0.250  0.750 [4 per cell]

Values from the calculation:
- Final energy: -4.188 eV/atom
- Crystal system: cubic
- Theoretical density: 7.1 Mg/m³

---

Compound: AlZn
Source: the Open Quantum Materials Database
Functional: GGA-PBE
Structure: relaxed

Lattice parameters (Å, degrees): 4.813 4.685 7.436 90.00 108.61 90.00
Space group Pm (No. 6)
Symmetry-distinct sites (fractional):
Al  0.000  0.000  0.000 [1 per cell]
Al  0.056  0.500  0.795 [1 per cell]
Al  0.190  0.000  0.399 [1 per cell]
Al  0.399  0.000  0.797 [1 per cell]
Al  0.659  0.500  0.002 [1 per cell]
Zn  0.261  0.500  0.200 [1 per cell]
Zn  0.459  0.500  0.597 [1 per cell]
Zn  0.595  0.000  0.201 [1 per cell]
Zn  0.793  0.000  0.596 [1 per cell]
Zn  0.858  0.500  0.399 [1 per cell]

Values from the calculation:
- Final energy: -2.440 eV/atom
- Crystal system: monoclinic
- Theoretical density: 4.8 Mg/m³

---

Compound: Ba2ErOsS6
Source: the Open Quantum Materials Database
Functional: GGA-PBE
Structure: relaxed

Lattice parameters (Å, degrees): 6.936 6.936 10.052 90.00 90.00 90.00
Space group I4/m (No. 87)
Symmetry-distinct sites (fractional):
Ba  0.000  0.500  0.250 [4 per cell]
Er  0.000  0.000  0.000 [2 per cell]
Os  0.000  0.000  0.500 [2 per cell]
S  0.000  0.000  0.263 [4 per cell]
S  0.194  0.280  0.500 [8 per cell]

Values from the calculation:
- Final energy: -5.721 eV/atom
- Crystal system: tetragonal
- Theoretical density: 5.7 Mg/m³

---

Compound: GdIr
Source: the Open Quantum Materials Database
Functional: GGA-PBE
Structure: relaxed

Lattice parameters (Å, degrees): 5.708 5.708 5.708 90.00 90.00 90.00
Space group Fm-3m (No. 225)
Symmetry-distinct sites (fractional):
Gd  0.000  0.000  0.000 [4 per cell]
Ir  0.000  0.000  0.500 [4 per cell]

Values from the calculation:
- Energy relative to the elements: -406 meV/atom
- Final energy: -7.161 eV/atom
- Crystal system: cubic
- Theoretical density: 12.5 Mg/m³

---

Compound: Tl2Au9
Source: the Open Quantum Materials Database
Functional: GGA-PBE
Structure: relaxed

Lattice parameters (Å, degrees): 2.9835 2.9835 33.0390 90.00 90.00 120.00
Space group P-3m1 (No. 164)
Symmetry-distinct sites (fractional):
Tl  0.3333  0.6667  0.3699 [2 per cell]
Au  0.0000  0.0000  0.0000 [1 per cell]
Au  0.0000  0.0000  0.2142 [2 per cell]
Au  0.3333  0.6667  0.1426 [2 per cell]
Au  0.3333  0.6667  0.7130 [2 per cell]
Au  0.3333  0.6667  0.9286 [2 per cell]

Values from the calculation:
- Final energy: -3.015 eV/atom
- Crystal system: trigonal
- Theoretical density: 14.2 Mg/m³

---

Compound: SbIrI6
Source: the Open Quantum Materials Database
Functional: GGA-PBE
Structure: relaxed

Lattice parameters (Å, degrees): 14.968 14.036 7.460 90.00 104.40 90.00
Space group C2/m (No. 12)
Symmetry-distinct sites (fractional):
Sb  0.000  0.198  0.000 [4 per cell]
Ir  0.198  0.000  0.339 [4 per cell]
I  0.102  0.329  0.851 [8 per cell]
I  0.141  0.000  0.978 [4 per cell]
I  0.142  0.171  0.383 [8 per cell]
I  0.163  0.500  0.380 [4 per cell]

Values from the calculation:
- Final energy: -2.773 eV/atom
- Crystal system: monoclinic
- Theoretical density: 4.7 Mg/m³

---

Compound: KHoSbTe3
Source: the Open Quantum Materials Database
Functional: GGA-PBE
Structure: relaxed

Lattice parameters (Å, degrees): 4.407 16.935 11.560 90.00 90.00 90.00
Space group Cmcm (No. 63)
Symmetry-distinct sites (fractional):
K  0.000  0.236  0.250 [4 per cell]
Ho  0.000  0.000  0.000 [4 per cell]
Sb  0.000  0.459  0.750 [4 per cell]
Te  0.000  0.094  0.750 [4 per cell]
Te  0.000  0.371  0.530 [8 per cell]

Values from the calculation:
- Final energy: -3.902 eV/atom
- Crystal system: orthorhombic
- Theoretical density: 5.5 Mg/m³

---

Compound: La2NdGe2
Source: the Open Quantum Materials Database
Functional: GGA-PBE
Structure: relaxed

Lattice parameters (Å, degrees): 7.962 7.962 4.482 90.00 90.00 90.00
Space group P4/mbm (No. 127)
Symmetry-distinct sites (fractional):
La  0.174  0.326  0.000 [4 per cell]
Nd  0.000  0.000  0.500 [2 per cell]
Ge  0.119  0.619  0.500 [4 per cell]

Values from the calculation:
- Final energy: -5.525 eV/atom
- Crystal system: tetragonal
- Theoretical density: 6.6 Mg/m³

---

Compound: SnAsPd
Source: the Open Quantum Materials Database
Functional: GGA-PBE
Structure: relaxed

Lattice parameters (Å, degrees): 4.8639 4.8639 6.1358 90.00 90.00 120.00
Space group P6_3mc (No. 186)
Symmetry-distinct sites (fractional):
Sn  0.3333  0.6667  0.0000 [2 per cell]
As  0.3333  0.6667  0.4402 [2 per cell]
Pd  0.0000  0.0000  0.4508 [2 per cell]

Values from the calculation:
- Final energy: -4.720 eV/atom
- Crystal system: hexagonal
- Theoretical density: 7.9 Mg/m³

---

Compound: ZrNiGe2
Source: the Open Quantum Materials Database
Functional: GGA-PBE
Structure: relaxed

Lattice parameters (Å, degrees): 3.110 6.884 6.285 90.00 90.00 90.00
Space group Pmc2_1 (No. 26)
Symmetry-distinct sites (fractional):
Zr  0.000  0.062  0.000 [2 per cell]
Ni  0.500  0.434  0.995 [2 per cell]
Ge  0.000  0.345  0.687 [2 per cell]
Ge  0.500  0.248  0.318 [2 per cell]

Values from the calculation:
- Final energy: -6.186 eV/atom
- Crystal system: orthorhombic
- Theoretical density: 7.3 Mg/m³

---

Compound: Li2AgSn
Source: the Open Quantum Materials Database
Functional: GGA-PBE
Structure: relaxed

Lattice parameters (Å, degrees): 6.532 6.532 6.532 90.00 90.00 90.00
Space group F-43m (No. 216)
Symmetry-distinct sites (fractional):
Li  0.000  0.000  0.000 [4 per cell]
Li  0.250  0.250  0.250 [4 per cell]
Ag  0.250  0.250  0.750 [4 per cell]
Sn  0.000  0.000  0.500 [4 per cell]

Values from the calculation:
- Final energy: -3.033 eV/atom
- Crystal system: cubic
- Theoretical density: 5.7 Mg/m³

---

Compound: RbDyZnTe3
Source: the Open Quantum Materials Database
Functional: GGA-PBE
Structure: relaxed

Lattice parameters (Å, degrees): 19.948 4.527 9.515 90.00 101.35 90.00
Space group C2/m (No. 12)
Symmetry-distinct sites (fractional):
Rb  0.142  0.000  0.062 [4 per cell]
Dy  0.170  0.000  0.565 [4 per cell]
Zn  0.030  0.500  0.729 [4 per cell]
Te  0.000  0.000  0.500 [2 per cell]
Te  0.000  0.500  0.000 [2 per cell]
Te  0.165  0.500  0.782 [4 per cell]
Te  0.174  0.500  0.353 [4 per cell]

Values from the calculation:
- Final energy: -3.610 eV/atom
- Crystal system: monoclinic
- Theoretical density: 5.5 Mg/m³